Entry 1:
A geometry-optimized BaLaPb2 structure, computed with PBE-GGA.

Calculated values
Energy relative to the elements = -479 meV/atom

a b c (Å): 7.0783 7.0783 7.0783
angles (deg): 142.55 137.05 58.27
Closest atoms and distances in Å follow each position.
Atoms (fractional coordinates):
Pb1 0.0446 0.0446 0.0000  2 Pb 3.24, 4 Ba 3.53, 2 La 3.56
Pb2 0.2316 0.7316 0.5000  2 Pb 3.24, 4 La 3.45
Ba1 0.4813 0.4813 0.0000  6 Pb 3.53-3.83, 4 La 3.93-3.95
La1 0.7425 0.2425 0.5000  6 Pb 3.45-3.56

Entry 2:
A geometry-optimized LaTmMnZn structure, computed with PBE-GGA.

Calculated values
Energy relative to the elements = -11 meV/atom

a b c (Å): 5.1130 5.1130 5.1130
angles (deg): 60.00 60.00 60.00
Closest atoms and distances in Å follow each position.
Atoms (fractional coordinates):
Zn1 0.0000 0.0000 0.0000  4 La 3.13, 4 Tm 3.13
Tm1 0.7500 0.7500 0.7500  4 Zn 3.13, 4 Mn 3.13
Mn1 0.5000 0.5000 0.5000  4 La 3.13, 4 Tm 3.13
La1 0.2500 0.2500 0.2500  4 Mn 3.13, 4 Zn 3.13

Entry 3:
A geometry-optimized DyVCr structure, computed with PBE-GGA.

Calculated values
Energy relative to the elements = 463 meV/atom

a b c (Å): 4.8143 4.8143 5.8051
angles (deg): 107.08 107.08 106.97
Closest atoms and distances in Å follow each position.
Atoms (fractional coordinates):
Dy1 0.6881 0.3119 0.0000  3 Dy 2.91-3.02, 4 Cr 2.94, 2 V 3.04
Dy2 0.3119 0.6881 0.0000  3 Dy 2.91-3.02, 4 Cr 2.94, 2 V 3.04
V1 0.8162 0.8162 0.6324  4 Cr 2.50
V2 0.1838 0.1838 0.3676  4 Cr 2.50
Cr1 0.7500 0.2500 0.5000  4 V 2.50
Cr2 0.2500 0.7500 0.5000  4 V 2.50

Entry 4:
A geometry-optimized Tb3Dy5Th3 structure, computed with PBE-GGA.

Calculated values
Energy relative to the elements = 386 meV/atom

a b c (Å): 3.4331 11.1438 11.1438
angles (deg): 120.00 90.00 90.00
Closest atoms and distances in Å follow each position.
Atoms (fractional coordinates):
Tb1 0.5000 0.8387 0.0000  4 Tb 3.11-3.43, 2 Th 3.20, 2 Dy 3.29
Tb2 0.5000 0.1613 0.1613  4 Tb 3.11-3.43, 2 Th 3.20, 2 Dy 3.29
Tb3 0.5000 0.0000 0.8387  4 Tb 3.11-3.43, 2 Th 3.20, 2 Dy 3.29
Dy1 0.5000 0.6667 0.3333  5 Dy 3.43-3.67, 6 Th 3.80
Dy2 0.5000 0.3333 0.6667  5 Dy 3.43-3.67, 6 Th 3.80
Dy3 0.5000 0.3410 0.0000  2 Tb 3.29, 2 Th 3.33, 4 Dy 3.43-3.67
Dy4 0.5000 0.6590 0.6590  2 Tb 3.29, 2 Th 3.33, 4 Dy 3.43-3.67
Dy5 0.5000 0.0000 0.3410  2 Tb 3.29, 2 Th 3.33, 4 Dy 3.43-3.67
Th1 0.0000 0.5967 0.0000  2 Tb 3.20, 2 Dy 3.33, 2 Th 3.43
Th2 0.0000 0.0000 0.5967  2 Tb 3.20, 2 Dy 3.33, 2 Th 3.43
Th3 0.0000 0.4033 0.4033  2 Tb 3.20, 2 Dy 3.33, 2 Th 3.43

Entry 5:
A geometry-optimized Li3AcI6 structure, computed with PBE-GGA.

Calculated values
Energy relative to the elements, uncorrected = -12.56 eV/f.u.

a b c (Å): 8.7485 8.7310 8.7338
angles (deg): 61.67 61.73 61.72
Closest atoms and distances in Å follow each position.
Atoms (fractional coordinates):
Li1 0.5000 0.5000 0.0000  4 I 2.80-3.09
Li2 0.5000 0.0000 0.5000  4 I 2.80-3.09
Li3 0.5000 0.5000 0.5000  6 I 2.99-3.04
Ac1 0.0000 0.0000 0.0000  6 I 3.26-3.27
I1 0.7147 0.7689 0.2841  2 Li 2.80-3.04
I2 0.2853 0.2311 0.7159  2 Li 2.80-3.04
I3 0.7181 0.2876 0.7656  2 Li 2.80-3.04
I4 0.2819 0.7124 0.2344  2 Li 2.80-3.04
I5 0.2676 0.7394 0.7391  3 Li 2.99-3.09, 1 Ac 3.27
I6 0.7324 0.2606 0.2609  3 Li 2.99-3.09, 1 Ac 3.27

Entry 6:
A geometry-optimized NdSmOs structure, computed with PBE-GGA.

Calculated values
Energy relative to the elements = -68 meV/atom

a b c (Å): 4.3442 6.8092 6.2781
angles (deg): 77.22 69.76 71.40
Closest atoms and distances in Å follow each position.
Atoms (fractional coordinates):
Nd1 0.8147 0.5836 0.7870  2 Os 2.90
Nd2 0.1853 0.4164 0.2130  2 Os 2.90
Sm1 0.4104 0.8682 0.3109  2 Os 2.89
Sm2 0.5896 0.1318 0.6891  2 Os 2.89
Os1 0.1363 0.8634 0.8640  1 Os 2.53
Os2 0.8637 0.1366 0.1360  1 Os 2.53

Entry 7:
A geometry-optimized Ho8GeAs4S3 structure, computed with PBE-GGA.

Calculated values
Energy relative to the elements, uncorrected = -26.49 eV/f.u.

a b c (Å): 8.0699 8.0557 8.0696
angles (deg): 120.06 120.00 90.00
Closest atoms and distances in Å follow each position.
Atoms (fractional coordinates):
Ho1 0.2486 0.7479 0.9993  1 Ge 2.83, 2 S 2.85, 3 As 2.85-2.87
Ho2 0.2486 0.7479 0.4972  1 Ge 2.83, 2 S 2.85, 3 As 2.85-2.87
Ho3 0.2495 0.2485 0.4990  3 As 2.84, 3 S 2.86
Ho4 0.7507 0.7479 0.9993  1 Ge 2.83, 2 S 2.85, 3 As 2.85-2.87
Ho5 0.2493 0.2521 0.0007  1 Ge 2.83, 2 S 2.85, 3 As 2.85-2.87
Ho6 0.7505 0.7515 0.5010  3 As 2.84, 3 S 2.86
Ho7 0.7514 0.2521 0.5028  1 Ge 2.83, 2 S 2.85, 3 As 2.85-2.87
Ho8 0.7514 0.2521 0.0007  1 Ge 2.83, 2 S 2.85, 3 As 2.85-2.87
Ge1 0.0000 0.5000 0.0000  6 Ho 2.83
As1 0.5000 0.0000 0.0000  6 Ho 2.87
As2 0.5000 0.0000 0.5000  6 Ho 2.84-2.85
As3 0.0000 0.0000 0.0000  6 Ho 2.84-2.85
As4 0.0000 0.0000 0.5000  6 Ho 2.84-2.85
S1 0.5000 0.5000 0.0000  6 Ho 2.85-2.86
S2 0.5000 0.5000 0.5000  6 Ho 2.85-2.86
S3 0.0000 0.5000 0.5000  6 Ho 2.85-2.86

Entry 8:
A geometry-optimized KRbGa2Br8 structure, computed with PBE-GGA.

Calculated values
Energy relative to the elements, uncorrected = -14.36 eV/f.u.

a b c (Å): 7.2267 7.2267 11.0450
angles (deg): 70.90 70.90 60.00
Closest atoms and distances in Å follow each position.
Atoms (fractional coordinates):
K1 0.0000 0.0000 0.0000  6 Br 3.44
Rb1 0.5000 0.5000 0.5000  12 Br 3.83-4.17
Ga1 0.2435 0.2435 0.2696  4 Br 2.36-2.37
Ga2 0.7565 0.7565 0.7304  4 Br 2.36-2.37
Br1 0.1666 0.1666 0.5003  1 Ga 2.36
Br2 0.5473 0.3237 0.1951  1 Ga 2.37
Br3 0.8334 0.8334 0.4997  1 Ga 2.36
Br4 0.9340 0.5473 0.1951  1 Ga 2.37
Br5 0.0660 0.4527 0.8049  1 Ga 2.37
Br6 0.3237 0.9340 0.1951  1 Ga 2.37
Br7 0.6763 0.0660 0.8049  1 Ga 2.37
Br8 0.4527 0.6763 0.8049  1 Ga 2.37

Entry 9:
A geometry-optimized ThMg2Al10 structure, computed with PBE-GGA.

Calculated values
Energy relative to the elements = -56 meV/atom

a b c (Å): 5.5639 7.0551 7.3078
angles (deg): 81.37 67.62 66.78
Closest atoms and distances in Å follow each position.
Atoms (fractional coordinates):
Th1 0.0000 0.0000 0.0000  16 Al 3.34-3.53, 4 Mg 3.65
Mg1 0.0000 0.0000 0.5000  2 Mg 2.78, 8 Al 2.80-2.93
Mg2 0.5000 0.0000 0.5000  2 Mg 2.78, 8 Al 2.80-2.93
Al1 0.9911 0.3655 0.6522  4 Al 2.70-2.87, 2 Mg 2.93
Al2 0.0089 0.6345 0.3478  4 Al 2.70-2.87, 2 Mg 2.93
Al3 0.6434 0.3655 0.3478  4 Al 2.70-2.87, 2 Mg 2.93
Al4 0.3566 0.6345 0.6522  4 Al 2.70-2.87, 2 Mg 2.93
Al5 0.5000 0.5000 0.0000  10 Al 2.69-2.87
Al6 0.0000 0.5000 0.0000  10 Al 2.69-2.87
Al7 0.5048 0.7821 0.2082  5 Al 2.69-2.86, 2 Mg 2.80
Al8 0.4952 0.2179 0.7918  5 Al 2.69-2.86, 2 Mg 2.80
Al9 0.7130 0.7821 0.7918  5 Al 2.69-2.86, 2 Mg 2.80
Al10 0.2870 0.2179 0.2082  5 Al 2.69-2.86, 2 Mg 2.80

Entry 10:
A geometry-optimized V4PdPt2 structure, computed with PBE-GGA.

Calculated values
Energy relative to the elements = 675 meV/atom

a b c (Å): 4.5851 4.5851 7.1284
angles (deg): 71.24 71.24 90.00
Closest atoms and distances in Å follow each position.
Atoms (fractional coordinates):
Pd1 0.0000 0.0000 0.0000  6 V 2.29-2.52
Pt1 0.3908 0.3908 0.2183  5 V 2.44-2.68
Pt2 0.6092 0.6092 0.7817  5 V 2.44-2.68
V1 0.1984 0.1984 0.6033  1 Pt 2.44, 1 Pd 2.52
V2 0.8016 0.8016 0.3967  1 Pt 2.44, 1 Pd 2.52
V3 0.0000 0.5000 0.0000  2 Pd 2.29
V4 0.5000 0.0000 0.0000  2 Pd 2.29

Entry 11:
A geometry-optimized CsSrIn4 structure, computed with PBE-GGA.

Calculated values
Energy relative to the elements = -210 meV/atom

a b c (Å): 6.5182 6.5182 6.5182
angles (deg): 60.00 60.00 60.00
Closest atoms and distances in Å follow each position.
Atoms (fractional coordinates):
Cs1 0.2500 0.2500 0.2500  12 In 3.82, 4 Sr 3.99
Sr1 0.0000 0.0000 0.0000  12 In 3.82, 4 Cs 3.99
In1 0.6255 0.6255 0.1235  6 In 3.25-3.27
In2 0.6255 0.1235 0.6255  6 In 3.25-3.27
In3 0.6255 0.6255 0.6255  6 In 3.25-3.27
In4 0.1235 0.6255 0.6255  6 In 3.25-3.27

Entry 12:
A geometry-optimized RbTaCd structure, computed with PBE-GGA.

Calculated values
Energy relative to the elements = 2052 meV/atom

a b c (Å): 6.1152 6.1152 11.3247
angles (deg): 90.00 90.00 120.00
Closest atoms and distances in Å follow each position.
Atoms (fractional coordinates):
Cd1 0.0000 0.0000 0.2500  2 Ta 2.83
Cd2 0.0000 0.0000 0.7500  2 Ta 2.83
Rb1 0.3333 0.6667 0.2500  3 Cd 3.53
Rb2 0.6667 0.3333 0.7500  3 Cd 3.53
Ta1 0.0000 0.0000 0.0000  2 Cd 2.83
Ta2 0.0000 0.0000 0.5000  2 Cd 2.83

| no. | energy (eV/atom) |
| --- | --- |
| 1 | -4.045 |
| 2 | -4.971 |
| 3 | -7.319 |
| 4 | -4.992 |
| 5 | -3.172 |
| 6 | -6.974 |
| 7 | -6.170 |
| 8 | -2.988 |
| 9 | -3.751 |
| 10 | -7.004 |
| 11 | -2.459 |
| 12 | -2.526 |